1.
{
  "formula": "Cs2NaIn",
  "functional": "GGA-PBE",
  "state": "optimized geometry",
  "magmom_total_mub_per_fu": 0.00,
  "e_form_mev_per_atom": 182,
  "spacegroup": "I-42d (122)",
  "final_energy_ev_per_cell": -10.1,
  "cell": [[-4.191, -1.724, -10.093], [-6.960, -7.519, 4.175], [-8.220, -1.829, -2.338]],
  "species": ["Cs", "Cs", "Na", "Na", "Cs", "In", "In", "Cs"],
  "fractional_positions": [[0.104, 0.625, 0.250], [0.875, 0.896, 0.750], [0.500, 0.500, 0.000], [0.250, 0.750, 0.500], [0.375, 0.354, 0.750], [0.750, 0.250, 0.500], [0.000, 0.000, 0.000], [0.646, 0.125, 0.250]]
}


2.
{
  "formula": "Mg5Ga2Ag2",
  "functional": "GGA-PBE",
  "state": "optimized geometry",
  "magmom_total_mub_per_fu": 0.00,
  "e_form_mev_per_atom": -92,
  "spacegroup": "Cmce (64)",
  "final_energy_ev_per_cell": -41.1,
  "cell": [[-6.712, -1.150, -2.383], [1.747, -6.932, -1.575], [-2.847, 1.489, 7.299]],
  "species": ["Mg", "Mg", "Ga", "Mg", "Mg", "Mg", "Ag", "Ag", "Mg", "Ga", "Mg", "Ag", "Mg", "Mg", "Mg", "Ga", "Ga", "Ag"],
  "fractional_positions": [[0.333, 0.698, 0.727], [0.167, 0.198, 0.727], [0.500, 0.294, 0.589], [0.833, 0.802, 0.273], [0.167, 0.470, 0.273], [0.833, 0.530, 0.727], [0.136, 0.635, 0.000], [0.864, 0.365, 0.000], [0.000, 0.000, 0.000], [0.000, 0.794, 0.589], [0.500, 0.500, 0.000], [0.364, 0.135, 0.000], [0.667, 0.302, 0.273], [0.667, 0.030, 0.727], [0.333, 0.970, 0.273], [0.000, 0.206, 0.411], [0.500, 0.706, 0.411], [0.636, 0.865, 0.000]]
}


3.
{
  "formula": "NiMoP",
  "functional": "GGA-PBE",
  "state": "optimized geometry",
  "magmom_total_mub_per_fu": 0.14,
  "e_form_mev_per_atom": 110,
  "spacegroup": "F-43m (216)",
  "final_energy_ev_per_cell": -21.7,
  "cell": [[-0.032, 0.891, 3.927], [-3.404, -0.366, 2.120], [-0.366, -2.939, 2.728]],
  "species": ["P", "Mo", "Ni"],
  "fractional_positions": [[0.500, 0.500, 0.500], [0.250, 0.250, 0.250], [0.000, 0.000, 0.000]]
}


4.
{
  "formula": "Pr8IrPt2",
  "functional": "GGA-PBE",
  "state": "optimized geometry",
  "magmom_total_mub_per_fu": 0.00,
  "e_form_mev_per_atom": -525,
  "spacegroup": "C2/m (12)",
  "final_energy_ev_per_cell": -65.0,
  "cell": [[5.140, 0.000, 0.000], [0.000, 7.000, 0.675], [-2.570, -2.198, 8.777]],
  "species": ["Ir", "Pr", "Pr", "Pt", "Pr", "Pr", "Pr", "Pt", "Pr", "Pr", "Pr"],
  "fractional_positions": [[0.500, 0.000, 0.000], [0.203, 0.334, 0.407], [0.663, 0.964, 0.327], [0.201, 0.742, 0.402], [0.587, 0.433, 0.174], [0.966, 0.218, 0.932], [0.034, 0.782, 0.068], [0.799, 0.258, 0.598], [0.413, 0.567, 0.826], [0.797, 0.666, 0.593], [0.337, 0.036, 0.673]]
}